1:
VASP calculation (meta-GGA SCAN) on a crystal of TlNiAs2 relaxed with PBEsol.

Output
The value obtained for the total magnetization is 0.00 Bohr magnetons per cell. As for the crystal system: monoclinic. As for the theoretical density: 8.63 g/cm3.

a b c (Å): 3.714 3.726 6.960
angles (deg): 105.36 90.00 119.90
Sites, in units of the cell vectors:
Ni 0.500 0.000 0.000
As 0.218 0.435 0.152
Tl 0.000 0.000 0.500
As 0.782 0.565 0.848



2:
VASP calculation (meta-GGA SCAN) on a crystal of TlNiAs2 relaxed with PBEsol.

Output
The value obtained for the total magnetization is 0.37 Bohr magnetons per cell. As for the crystal system: tetragonal. As for the theoretical density: 9.39 g/cm3.

a b c (Å): 3.842 3.842 4.944
angles (deg): 90.00 90.00 90.00
Last column: magnetic moment on the atom in μB.
Sites, in units of the cell vectors:
Tl 0.000 0.000 0.500  0.01
As 0.500 0.000 0.000  0.01
As 0.000 0.500 0.000  0.01
Ni 0.500 0.500 0.500  0.36



The structure with the least stability is 2.



1:
VASP calculation (meta-GGA SCAN) on a crystal of NiAsW relaxed with PBEsol.

Output
The value obtained for the total magnetization is 0.00 Bohr magnetons per cell. As for the crystal system: orthorhombic. As for the theoretical density: 12.98 g/cm3.

a b c (Å): 2.864 3.186 4.938
angles (deg): 108.82 106.86 90.00
Sites, in units of the cell vectors:
As 0.013 0.013 0.027
W 0.330 0.330 0.659
Ni 0.657 0.657 0.314



2:
VASP calculation (meta-GGA SCAN) on a crystal of NiAsW relaxed with PBEsol.

Output
The value obtained for the total magnetization is 0.00 Bohr magnetons per cell. As for the crystal system: cubic. As for the theoretical density: 10.80 g/cm3.

a b c (Å): 4.102 4.102 4.102
angles (deg): 60.00 60.00 60.00
Sites, in units of the cell vectors:
As 0.000 0.000 0.000
W 0.750 0.750 0.750
Ni 0.500 0.500 0.500



The structure with the least stability is 2.